*1*
Material: TlPtSe2
Method: DFT, GGA-PBEsol
State: optimized geometry

Results
Magnetization in μB per formula unit: 0.0

abc: 3.6110 5.7091 5.8563
angles: 120.36 90.00 108.44
Closest atoms and distances in Å follow each position.
Fractional positions:
Tl1 0.5000 0.0000 0.0000  8 Se 3.34-3.47, 4 Pt 3.44, 2 Tl 3.61
Se1 0.3229 0.6458 0.3274  2 Pt 2.43
Se2 0.6771 0.3542 0.6726  2 Pt 2.43
Pt1 0.0000 0.0000 0.5000  4 Se 2.43


*2*
Material: TlPtSe2
Method: DFT, GGA-PBEsol
State: optimized geometry

Results
Magnetization in μB per formula unit: 0.0

abc: 4.0155 4.0155 8.1576
angles: 75.75 75.75 60.00
Closest atoms and distances in Å follow each position.
Fractional positions:
Pt1 0.0000 0.0000 0.0000  2 Se 2.29
Se1 0.0976 0.0976 0.7071  1 Pt 2.29
Se2 0.9024 0.9024 0.2929  1 Pt 2.29
Tl1 0.5000 0.5000 0.5000  6 Se 2.83


The structures above, arranged from the most stable to the least stable: *1*, *2*.